[1]
{"formula": "Ta2Os3", "functional": "GGA-PBEsol", "state": "relaxed", "lattice": [[4.9578, 0.0000, 0.0000], [2.4789, 4.7327, 0.0000], [-2.4789, 0.0000, 6.5965]], "species": ["Os", "Os", "Os", "Os", "Os", "Os", "Ta", "Ta", "Ta", "Ta"], "fractional_positions": [[0.8027, 0.3860, 0.3056], [0.0589, 0.0000, 0.0000], [0.8831, 0.6140, 0.6944], [0.7471, 0.8860, 0.1944], [0.4387, 0.1140, 0.8056], [0.3089, 0.5000, 0.5000], [0.5374, 0.5755, 0.8950], [0.8924, 0.0755, 0.6050], [0.2179, 0.4245, 0.1050], [0.3629, 0.9245, 0.3950]], "final_energy_ev_per_cell": -124.9, "m_tot_mub_per_atom": 0.000, "delta_e_f_mev_per_atom": -139, "dos_at_fermi_per_ev_atom": 0.756}

=====

[2]
{"formula": "Ta2Os", "functional": "GGA-PBEsol", "state": "relaxed", "lattice": [[3.1746, 0.0000, 0.0000], [0.0000, 3.1746, 0.0000], [-1.5873, -1.5873, 4.8557]], "species": ["Ta", "Ta", "Os"], "fractional_positions": [[0.6638, 0.6638, 0.3276], [0.3362, 0.3362, 0.6724], [0.0000, 0.0000, 0.0000]], "final_energy_ev_per_cell": -38.2, "m_tot_mub_per_atom": 0.000, "delta_e_f_mev_per_atom": -278, "dos_at_fermi_per_ev_atom": 0.545}

=====

[3]
{"formula": "TaOs2", "functional": "GGA-PBEsol", "state": "relaxed", "lattice": [[3.8917, 0.0000, 0.0000], [0.0000, 3.8917, 0.0000], [-1.9458, -1.9458, 11.9905]], "species": ["Os", "Os", "Os", "Os", "Os", "Os", "Os", "Os", "Ta", "Ta", "Ta", "Ta"], "fractional_positions": [[0.8318, 0.3318, 0.6636], [0.0008, 0.5008, 0.0016], [0.4182, 0.4182, 0.8364], [0.4992, 0.9992, 0.9984], [0.5818, 0.5818, 0.1636], [0.6682, 0.1682, 0.3364], [0.2492, 0.2492, 0.4984], [0.7508, 0.7508, 0.5016], [0.3280, 0.8280, 0.6560], [0.0780, 0.0780, 0.1560], [0.1720, 0.6720, 0.3440], [0.9220, 0.9220, 0.8440]], "final_energy_ev_per_cell": -150.3, "m_tot_mub_per_atom": 0.000, "delta_e_f_mev_per_atom": -195, "dos_at_fermi_per_ev_atom": 0.752}

=====

[4]
{"formula": "Ta3Os2", "functional": "GGA-PBEsol", "state": "relaxed", "lattice": [[-0.7535, 3.2167, 3.7983], [-7.2049, -5.7185, 3.4135], [6.4929, -4.9277, 5.4611]], "species": ["Ta", "Ta", "Ta", "Ta", "Ta", "Ta", "Ta", "Ta", "Ta", "Ta", "Ta", "Ta", "Ta", "Ta", "Ta", "Ta", "Ta", "Ta", "Os", "Os", "Os", "Os", "Os", "Os", "Os", "Os", "Os", "Os", "Os", "Os"], "fractional_positions": [[0.2499, 0.8188, 0.1812], [0.2498, 0.6811, 0.6811], [0.2499, 0.1812, 0.8188], [0.4984, 0.0378, 0.3706], [0.7493, 0.8184, 0.1816], [0.9975, 0.1300, 0.5349], [0.4961, 0.8971, 0.8971], [0.9975, 0.4651, 0.8700], [0.4961, 0.1029, 0.1029], [0.0061, 0.3988, 0.6012], [0.2498, 0.3189, 0.3189], [0.9975, 0.5349, 0.1300], [0.9975, 0.8700, 0.4651], [0.4984, 0.6294, 0.9622], [0.7493, 0.1816, 0.8184], [0.4984, 0.9622, 0.6294], [0.0061, 0.6012, 0.3988], [0.4984, 0.3706, 0.0378], [0.7510, 0.6813, 0.6813], [0.9977, 0.0000, 0.0000], [0.5004, 0.5655, 0.2425], [0.5004, 0.4345, 0.7575], [0.9978, 0.7407, 0.9303], [0.9978, 0.0697, 0.2593], [0.9978, 0.2593, 0.0697], [0.7510, 0.3187, 0.3187], [0.9978, 0.9303, 0.7407], [0.5004, 0.2425, 0.5655], [0.5004, 0.7575, 0.4345], [0.5214, 0.5000, 0.5000]], "final_energy_ev_per_cell": -382.1, "m_tot_mub_per_atom": 0.000, "delta_e_f_mev_per_atom": -321, "dos_at_fermi_per_ev_atom": 0.675}

=====

[5]
{"formula": "TaOs2", "functional": "GGA-PBEsol", "state": "relaxed", "lattice": [[2.8332, 0.0000, 0.0000], [-1.4166, 5.0312, 0.0038], [0.0000, -1.9770, 6.3846]], "species": ["Ta", "Ta", "Os", "Os", "Os", "Os"], "fractional_positions": [[0.6764, 0.3528, 0.6466], [0.3236, 0.6472, 0.3534], [0.9596, 0.9192, 0.7028], [0.3624, 0.7248, 0.9728], [0.0404, 0.0808, 0.2972], [0.6376, 0.2752, 0.0272]], "final_energy_ev_per_cell": -74.6, "m_tot_mub_per_atom": 0.000, "delta_e_f_mev_per_atom": -104, "dos_at_fermi_per_ev_atom": 0.780}

=====

[6]
{"formula": "Ta2Os", "functional": "GGA-PBEsol", "state": "relaxed", "lattice": [[-1.2127, -0.4990, 2.8725], [-2.8246, -3.1058, -1.7321], [5.2523, -4.5997, -0.3173]], "species": ["Os", "Os", "Ta", "Ta", "Ta", "Ta"], "fractional_positions": [[0.0818, 0.2500, 0.1635], [0.9182, 0.7500, 0.8365], [0.5814, 0.7500, 0.1628], [0.7481, 0.2500, 0.4962], [0.4186, 0.2500, 0.8372], [0.2519, 0.7500, 0.5038]], "final_energy_ev_per_cell": -76.3, "m_tot_mub_per_atom": 0.000, "delta_e_f_mev_per_atom": -276, "dos_at_fermi_per_ev_atom": 0.564}

=====

[7]
{"formula": "TaOs2", "functional": "GGA-PBEsol", "state": "relaxed", "lattice": [[-3.0372, -1.4366, 1.8992], [-0.1716, -2.9765, -2.5260], [5.2408, -2.4891, 2.5769]], "species": ["Ta", "Ta", "Os", "Os", "Os", "Os"], "fractional_positions": [[0.9089, 0.7500, 0.8178], [0.0911, 0.2500, 0.1822], [0.7522, 0.2500, 0.5044], [0.2478, 0.7500, 0.4956], [0.5893, 0.7500, 0.1786], [0.4107, 0.2500, 0.8214]], "final_energy_ev_per_cell": -74.8, "m_tot_mub_per_atom": 0.000, "delta_e_f_mev_per_atom": -140, "dos_at_fermi_per_ev_atom": 0.618}

=====

[8]
{"formula": "TaOs2", "functional": "GGA-PBEsol", "state": "relaxed", "lattice": [[-3.0361, 0.8761, -2.3468], [-2.3260, -4.8102, 1.2135], [-3.9941, 3.5713, 6.5003]], "species": ["Os", "Os", "Os", "Os", "Os", "Os", "Os", "Os", "Ta", "Ta", "Ta", "Ta"], "fractional_positions": [[0.2500, 0.6232, 0.2418], [0.2500, 0.1225, 0.5761], [0.7500, 0.8775, 0.4239], [0.7500, 0.3775, 0.0761], [0.2500, 0.1232, 0.2582], [0.7500, 0.3768, 0.7582], [0.2500, 0.6225, 0.9239], [0.7500, 0.8768, 0.7418], [0.7500, 0.8706, 0.1003], [0.2500, 0.1294, 0.8997], [0.2500, 0.6294, 0.6003], [0.7500, 0.3706, 0.3997]], "final_energy_ev_per_cell": -150.1, "m_tot_mub_per_atom": 0.000, "delta_e_f_mev_per_atom": -179, "dos_at_fermi_per_ev_atom": 0.669}

=====

[9]
{"formula": "TaTcOs2", "functional": "GGA-PBEsol", "state": "relaxed", "lattice": [[3.1129, 0.0000, 0.0000], [0.0000, 4.3951, 0.0000], [-1.5565, -2.1976, 4.3917]], "species": ["Ta", "Tc", "Os", "Os"], "fractional_positions": [[0.4972, 0.4972, 0.9945], [0.7644, 0.2644, 0.5287], [0.0040, 0.0040, 0.0080], [0.2344, 0.7344, 0.4689]], "final_energy_ev_per_cell": -47.7, "m_tot_mub_per_atom": 0.000, "delta_e_f_mev_per_atom": 147, "dos_at_fermi_per_ev_atom": 0.828}

=====

[10]
{"formula": "TaTcOs2", "functional": "GGA-PBEsol", "state": "relaxed", "lattice": [[-0.3671, -3.7511, 1.0069], [3.6505, 0.0120, 1.3759], [-2.9663, 2.9401, 2.3136]], "species": ["Tc", "Ta", "Os", "Os"], "fractional_positions": [[0.0000, 0.0000, 0.0000], [0.5000, 0.5000, 0.0000], [0.7500, 0.2500, 0.5000], [0.2500, 0.7500, 0.5000]], "final_energy_ev_per_cell": -48.5, "m_tot_mub_per_atom": 0.000, "delta_e_f_mev_per_atom": -58, "dos_at_fermi_per_ev_atom": 1.191}

=====

[11]
{"formula": "Ta4TcOs", "functional": "GGA-PBEsol", "state": "relaxed", "lattice": [[5.2406, 0.0000, 0.0000], [2.6203, 4.5385, 0.0000], [2.6203, 1.5128, 4.2790]], "species": ["Ta", "Ta", "Ta", "Ta", "Tc", "Os"], "fractional_positions": [[0.3750, 0.3750, 0.8751], [0.8751, 0.3750, 0.3750], [0.3750, 0.8751, 0.3750], [0.3750, 0.3750, 0.3750], [0.7500, 0.7500, 0.7500], [0.0000, 0.0000, 0.0000]], "final_energy_ev_per_cell": -70.6, "m_tot_mub_per_atom": 0.281, "delta_e_f_mev_per_atom": 514, "dos_at_fermi_per_ev_atom": 1.242}

=====

[12]
{"formula": "TaTcOs", "functional": "GGA-PBEsol", "state": "relaxed", "lattice": [[-2.3942, 1.9129, -0.6720], [-1.8433, -1.6206, 1.9543], [3.3749, 2.6598, 2.8705]], "species": ["Tc", "Ta", "Os"], "fractional_positions": [[0.3254, 0.3254, 0.6507], [0.6684, 0.6684, 0.3367], [0.0063, 0.0063, 0.0125]], "final_energy_ev_per_cell": -36.0, "m_tot_mub_per_atom": 0.000, "delta_e_f_mev_per_atom": 9, "dos_at_fermi_per_ev_atom": 0.814}

=====

[13]
{"formula": "Ta2TcOsW", "functional": "GGA-PBEsol", "state": "relaxed", "lattice": [[4.4662, 0.0000, 0.0000], [0.0000, 4.7409, 0.0000], [0.0000, 0.0000, 4.7409]], "species": ["Tc", "Ta", "Ta", "Os", "W"], "fractional_positions": [[0.5000, 0.0000, 0.0000], [0.0000, 0.0000, 0.5000], [0.0000, 0.5000, 0.0000], [0.5000, 0.5000, 0.5000], [0.0000, 0.0000, 0.0000]], "final_energy_ev_per_cell": -51.9, "m_tot_mub_per_atom": 0.000, "delta_e_f_mev_per_atom": 2099, "dos_at_fermi_per_ev_atom": 1.023}

=====

[14]
{"formula": "TaTeOs2", "functional": "GGA-PBEsol", "state": "relaxed", "lattice": [[3.1123, 0.0000, 0.0000], [0.0000, 4.5761, 0.0000], [-1.5561, -2.2881, 4.6035]], "species": ["Os", "Os", "Te", "Ta"], "fractional_positions": [[0.7463, 0.2463, 0.4925], [0.9838, 0.9838, 0.9677], [0.2585, 0.7585, 0.5170], [0.5114, 0.5114, 0.0228]], "raw_formation_energy_mev_per_atom": 442, "final_energy_ev_per_cell": -38.7, "m_tot_mub_per_atom": 0.000, "dos_at_fermi_per_ev_atom": 0.804}

=====

[15]
{"formula": "TaTeOs", "functional": "GGA-PBEsol", "state": "relaxed", "lattice": [[-2.1846, -1.2048, -3.6077], [0.6866, -3.9585, -1.7604], [-3.1131, -3.0801, 0.2472]], "species": ["Os", "Ta", "Te"], "fractional_positions": [[0.2500, 0.2500, 0.2500], [0.0000, 0.0000, 0.0000], [0.5000, 0.5000, 0.5000]], "raw_formation_energy_mev_per_atom": 154, "final_energy_ev_per_cell": -27.8, "m_tot_mub_per_atom": 0.000, "dos_at_fermi_per_ev_atom": 1.095}

=====

[16]
{"formula": "Ta4TeOs", "functional": "GGA-PBEsol", "state": "relaxed", "lattice": [[-2.5072, 0.7507, -4.6868], [-5.3492, -0.3596, -0.2702], [-2.9504, 4.4146, -0.7888]], "species": ["Ta", "Ta", "Ta", "Ta", "Te", "Os"], "fractional_positions": [[0.3749, 0.3749, 0.3749], [0.3749, 0.8752, 0.3749], [0.8752, 0.3749, 0.3749], [0.3749, 0.3749, 0.8752], [0.7500, 0.7500, 0.7500], [0.0000, 0.0000, 0.0000]], "raw_formation_energy_mev_per_atom": 585, "final_energy_ev_per_cell": -62.4, "m_tot_mub_per_atom": 0.000, "dos_at_fermi_per_ev_atom": 0.726}

=====

[17]
{"formula": "TaTiOs2", "functional": "GGA-PBEsol", "state": "relaxed", "lattice": [[4.3983, 0.0000, 0.0000], [2.1992, 3.8091, 0.0000], [2.1992, 1.2697, 3.5912]], "species": ["Ta", "Os", "Os", "Ti"], "fractional_positions": [[0.5000, 0.5000, 0.5000], [0.2500, 0.2500, 0.2500], [0.7500, 0.7500, 0.7500], [0.0000, 0.0000, 0.0000]], "final_energy_ev_per_cell": -47.2, "m_tot_mub_per_atom": 0.000, "delta_e_f_mev_per_atom": -484, "dos_at_fermi_per_ev_atom": 0.677}

=====

[18]
{"formula": "Ta3TiOs", "functional": "GGA-PBEsol", "state": "relaxed", "lattice": [[-0.3130, 0.2901, -4.4974], [-2.9509, -3.4207, -0.0153], [-3.4064, 2.9366, 0.4265]], "species": ["Os", "Ta", "Ta", "Ta", "Ti"], "fractional_positions": [[0.5000, 0.5000, 0.5000], [0.0000, 0.5000, 0.0000], [0.5000, 0.0000, 0.0000], [0.0000, 0.0000, 0.5000], [0.0000, 0.0000, 0.0000]], "final_energy_ev_per_cell": -49.6, "m_tot_mub_per_atom": 0.000, "delta_e_f_mev_per_atom": 1715, "dos_at_fermi_per_ev_atom": 1.270}

=====

[19]
{"formula": "Ta2TlOs", "functional": "GGA-PBEsol", "state": "relaxed", "lattice": [[-3.0804, 1.3469, 2.1442], [1.8959, -1.0115, 3.3591], [2.4284, 3.7860, -2.5974]], "species": ["Ta", "Ta", "Tl", "Os"], "fractional_positions": [[0.0000, 0.0000, 0.0000], [0.7500, 0.2500, 0.5000], [0.5000, 0.5000, 0.0000], [0.2500, 0.7500, 0.5000]], "final_energy_ev_per_cell": -38.4, "m_tot_mub_per_atom": 0.000, "delta_e_f_mev_per_atom": 394, "dos_at_fermi_per_ev_atom": 1.102}

=====

[20]
{"formula": "Ta2TlOs", "functional": "GGA-PBEsol", "state": "relaxed", "lattice": [[-0.2939, -4.6089, 0.3419], [1.0955, -2.6653, -3.6251], [3.8543, -2.5654, 0.0930]], "species": ["Os", "Tl", "Ta", "Ta"], "fractional_positions": [[0.0000, 0.0000, 0.0000], [0.5000, 0.5000, 0.5000], [0.2500, 0.2500, 0.2500], [0.7500, 0.7500, 0.7500]], "final_energy_ev_per_cell": -37.8, "m_tot_mub_per_atom": 0.000, "delta_e_f_mev_per_atom": 534, "dos_at_fermi_per_ev_atom": 1.632}

=====

[21]
{"formula": "Ta2VOs", "functional": "GGA-PBEsol", "state": "relaxed", "lattice": [[4.4334, 0.0000, 0.0000], [2.2167, 3.8394, 0.0000], [2.2167, 1.2798, 3.6199]], "species": ["Ta", "Ta", "V", "Os"], "fractional_positions": [[0.7500, 0.7500, 0.7500], [0.2500, 0.2500, 0.2500], [0.0000, 0.0000, 0.0000], [0.5000, 0.5000, 0.5000]], "final_energy_ev_per_cell": -48.3, "m_tot_mub_per_atom": 0.000, "delta_e_f_mev_per_atom": -332, "dos_at_fermi_per_ev_atom": 0.596}

=====

[22]
{"formula": "TaOsW", "functional": "GGA-PBEsol", "state": "relaxed", "lattice": [[2.8485, 0.0000, 0.0000], [0.0000, 2.8485, 0.0000], [-1.4243, -1.4243, 5.8810]], "species": ["Os", "W", "Ta"], "fractional_positions": [[0.9946, 0.9946, 0.9893], [0.3456, 0.3456, 0.6912], [0.6598, 0.6598, 0.3195]], "final_energy_ev_per_cell": -38.5, "m_tot_mub_per_atom": 0.000, "delta_e_f_mev_per_atom": 39, "dos_at_fermi_per_ev_atom": 0.986}

=====

[23]
{"formula": "TaOs2W", "functional": "GGA-PBEsol", "state": "relaxed", "lattice": [[-0.1859, -1.2630, -2.4888], [2.2228, -0.0826, -1.6959], [3.2554, -8.2293, 2.3610]], "species": ["Os", "Os", "Ta", "W"], "fractional_positions": [[0.7477, 0.7477, 0.7568], [0.2523, 0.2523, 0.2432], [0.5000, 0.5000, 0.5000], [0.0000, 0.0000, 0.0000]], "final_energy_ev_per_cell": -50.3, "m_tot_mub_per_atom": 0.000, "delta_e_f_mev_per_atom": 132, "dos_at_fermi_per_ev_atom": 1.046}

=====

[24]
{"formula": "TaOsW", "functional": "GGA-PBEsol", "state": "relaxed", "lattice": [[-3.2182, -2.5527, -1.2165], [0.8336, -3.8992, -1.5666], [-0.9587, -3.4834, 2.3022]], "species": ["Ta", "W", "Os"], "fractional_positions": [[0.2500, 0.2500, 0.2500], [0.0000, 0.0000, 0.0000], [0.5000, 0.5000, 0.5000]], "final_energy_ev_per_cell": -35.4, "m_tot_mub_per_atom": 0.001, "delta_e_f_mev_per_atom": 1058, "dos_at_fermi_per_ev_atom": 1.802}

=====

[25]
{"formula": "TaOs2W", "functional": "GGA-PBEsol", "state": "relaxed", "lattice": [[2.7545, 0.0000, 0.0071], [0.0000, 4.2266, 0.0000], [-1.3396, 0.0000, 5.2541]], "species": ["Os", "Os", "Ta", "W"], "fractional_positions": [[0.0865, 0.0000, 0.7517], [0.9135, 0.0000, 0.2483], [0.5000, 0.5000, 0.0000], [0.5000, 0.5000, 0.5000]], "final_energy_ev_per_cell": -50.5, "m_tot_mub_per_atom": 0.000, "delta_e_f_mev_per_atom": 76, "dos_at_fermi_per_ev_atom": 0.850}

=====

[26]
{"formula": "YTaOs3", "functional": "GGA-PBEsol", "state": "relaxed", "lattice": [[4.6381, 0.0000, 0.0000], [0.0000, 4.6381, 0.0000], [0.0000, 0.0000, 4.6381]], "species": ["Os", "Os", "Os", "Y", "Ta"], "fractional_positions": [[0.0000, 0.5000, 0.0000], [0.0000, 0.0000, 0.5000], [0.5000, 0.0000, 0.0000], [0.0000, 0.0000, 0.0000], [0.5000, 0.5000, 0.5000]], "final_energy_ev_per_cell": -41.9, "m_tot_mub_per_atom": 0.000, "delta_e_f_mev_per_atom": 2828, "dos_at_fermi_per_ev_atom": 1.261}

=====

[27]
{"formula": "Y3TaOs", "functional": "GGA-PBEsol", "state": "relaxed", "lattice": [[-2.1482, 3.8945, -2.6071], [-4.6713, -1.5484, 1.5360], [0.3773, 3.0023, 4.1740]], "species": ["Os", "Ta", "Y", "Y", "Y"], "fractional_positions": [[0.5000, 0.5000, 0.5000], [0.0000, 0.0000, 0.0000], [0.0000, 0.5000, 0.0000], [0.5000, 0.0000, 0.0000], [0.0000, 0.0000, 0.5000]], "final_energy_ev_per_cell": -37.6, "m_tot_mub_per_atom": 0.236, "delta_e_f_mev_per_atom": 1529, "dos_at_fermi_per_ev_atom": 1.355}